Arrangement one

The following is a PBE calculation of crystalline SmThIr at its relaxed geometry, from Alexandria via LeMat-Bulk.

Cell lengths 4.9463, 4.9463, 4.9463 Å; angles 60.00, 60.00, 60.00 degrees
Positions (direct):
Ir: 0.2500 0.2500 0.2500
Sm: 0.0000 0.0000 0.0000
Th: 0.5000 0.5000 0.5000

DOS at the Fermi energy = 1.2680 states/eV/atom
space-group type = F-43m

***

Arrangement two

The following is a PBE calculation of crystalline SmThIr at its relaxed geometry, from Alexandria via LeMat-Bulk.

Cell lengths 7.3918, 6.3662, 7.2109 Å; angles 90.47, 90.00, 90.00 degrees
Positions (direct):
Sm: 0.8966 0.8943 0.2477
Sm: 0.1034 0.1057 0.7523
Sm: 0.6034 0.8943 0.7477
Sm: 0.3966 0.1057 0.2523
Ir: 0.9541 0.6821 0.7530
Ir: 0.0459 0.3179 0.2470
Ir: 0.4541 0.3179 0.7470
Ir: 0.5459 0.6821 0.2530
Th: 0.2506 0.5785 0.0003
Th: 0.7506 0.4215 0.4997
Th: 0.7494 0.4215 0.9997
Th: 0.2494 0.5785 0.5003

DOS at the Fermi energy = 0.9678 states/eV/atom
space-group type = P2_1/c

***

arrangement one is the least stable structure shown above.